# 1
A relaxed structure of KHg2Sb2, computed with GGA-PBE.

**Space group**: No. 139
**Offset from the most stable computed form**: 0.10 eV/f.u.
**Energy relative to the elements, uncorrected**: -146 meV/atom

Cell: 4.912 4.912 7.320 Å, 70.40 70.40 90.00°
Fractional positions:
Hg: 0.392 0.392 0.215
Hg: 0.608 0.608 0.785
Sb: 0.750 0.250 0.500
Sb: 0.250 0.750 0.500
K: 0.000 0.000 0.000

# 2
A relaxed structure of Nd4Ho7Er, computed with GGA-PBE.

**Space group**: No. 2
**E_form**: 0.089 eV/atom
**Offset from the most stable computed form**: 0.00 eV/f.u.

Cell: 6.829 6.547 11.831 Å, 75.38 49.93 81.82°
Fractional positions:
Nd: 0.310 0.163 0.306
Nd: 0.527 0.640 0.284
Nd: 0.690 0.837 0.694
Nd: 0.473 0.360 0.716
Er: 0.000 0.000 0.000
Ho: 0.057 0.318 0.642
Ho: 0.803 0.511 0.950
Ho: 0.723 0.187 0.383
Ho: 0.277 0.813 0.617
Ho: 0.943 0.682 0.358
Ho: 0.500 0.000 0.000
Ho: 0.197 0.489 0.050

# 3
A relaxed structure of YZr2Ir3, computed with GGA-PBE.

**Space group**: No. 123
**E_form**: -0.798 eV/atom

Cell: 3.311 3.311 10.405 Å, 90.00 90.00 90.00°
Fractional positions:
Y: 0.500 0.500 0.500
Ir: 0.000 0.000 0.000
Ir: 0.000 0.000 0.309
Ir: 0.000 0.000 0.691
Zr: 0.500 0.500 0.838
Zr: 0.500 0.500 0.162

# 4
A relaxed structure of Hg5H2Pb3, computed with GGA-PBE.

**VASP energy**: -1.783 eV per atom
**Space group**: No. 2

Cell: 9.937 14.317 14.502 Å, 154.70 99.04 101.99°
Fractional positions:
H: 0.832 0.689 0.158
H: 0.704 0.948 0.457
H: 0.296 0.052 0.543
H: 0.168 0.311 0.842
Hg: 0.447 0.668 0.960
Hg: 0.467 0.706 0.770
Hg: 0.497 0.785 0.629
Hg: 0.015 0.769 0.821
Hg: 0.029 0.776 0.043
Hg: 0.533 0.294 0.230
Hg: 0.553 0.332 0.040
Hg: 0.503 0.215 0.371
Hg: 0.971 0.224 0.957
Hg: 0.985 0.231 0.179
Pb: 0.538 0.269 0.656
Pb: 0.951 0.204 0.614
Pb: 0.462 0.731 0.344
Pb: 0.049 0.796 0.386
Pb: 0.946 0.174 0.343
Pb: 0.054 0.826 0.657

# 5
A relaxed structure of CaZr2Pd9, computed with GGA-PBE.

**Space group**: No. 123
**E_form**: -0.732 eV/atom

Cell: 4.055 4.055 12.253 Å, 90.00 90.00 90.00°
Fractional positions:
Pd: 0.500 0.000 0.823
Pd: 0.000 0.500 0.177
Pd: 0.500 0.500 0.662
Pd: 0.000 0.500 0.823
Pd: 0.500 0.000 0.177
Pd: 0.500 0.000 0.500
Pd: 0.500 0.500 0.338
Pd: 0.500 0.500 0.000
Pd: 0.000 0.500 0.500
Ca: 0.000 0.000 0.000
Zr: 0.000 0.000 0.667
Zr: 0.000 0.000 0.333

# 6
A relaxed structure of La9Pr2Cd, computed with GGA-PBE.

**Space group**: No. 123
**E_form**: -0.033 eV/atom

Cell: 5.189 5.189 15.744 Å, 90.00 90.00 90.00°
Fractional positions:
Cd: 0.000 0.000 0.000
Pr: 0.000 0.000 0.328
Pr: 0.000 0.000 0.672
La: 0.500 0.500 0.330
La: 0.500 0.000 0.500
La: 0.500 0.000 0.839
La: 0.000 0.500 0.839
La: 0.000 0.500 0.161
La: 0.500 0.500 0.670
La: 0.500 0.000 0.161
La: 0.000 0.500 0.500
La: 0.500 0.500 0.000

# 7
A relaxed structure of LiTcH2, computed with GGA-PBE.

**Space group**: No. 166
**Offset from the most stable computed form**: 0.00 eV/f.u.

Cell: 2.855 2.855 4.911 Å, 73.10 73.10 60.00°
Fractional positions:
Li: 0.500 0.500 0.500
H: 0.735 0.735 0.795
H: 0.265 0.265 0.205
Tc: 0.000 0.000 0.000

# 8
A relaxed structure of BeNi2Pb, computed with GGA-PBE.

**Space group**: No. 119
**E_form**: 0.227 eV/atom
**Offset from the most stable computed form**: 0.68 eV/f.u.

Cell: 4.746 4.746 4.746 Å, 134.11 134.11 66.91°
Fractional positions:
Ni: 0.250 0.750 0.500
Ni: 0.000 0.000 0.000
Be: 0.750 0.250 0.500
Pb: 0.500 0.500 0.000

# 9
A relaxed structure of TbSm2Al, computed with GGA-PBE.

**Space group**: No. 160
**E_form**: -0.039 eV/atom
**Offset from the most stable computed form**: 0.60 eV/f.u.

Cell: 3.644 3.644 10.784 Å, 80.27 80.27 60.00°
Each line ends with the local moment (μB).
Fractional positions:
Al: 0.666 0.666 0.001  0.00
Tb: 0.500 0.500 0.499  0.20
Sm: 0.261 0.261 0.218  0.03
Sm: 0.073 0.073 0.782  0.05

# 10
A relaxed structure of SmTh2ScAs4, computed with GGA-PBE.

**Space group**: No. 10
**E_form**: -1.401 eV/atom

Cell: 4.183 7.158 7.239 Å, 70.21 90.00 90.00°
Fractional positions:
As: 0.000 0.265 0.237
As: 0.000 0.735 0.763
As: 0.500 0.741 0.245
As: 0.500 0.259 0.755
Th: 0.000 0.000 0.000
Th: 0.500 0.000 0.500
Sm: 0.000 0.500 0.500
Sc: 0.500 0.500 0.000

# 11
A relaxed structure of ReMoCl, computed with GGA-PBE.

**Space group**: No. 44
**Offset from the most stable computed form**: 1.66 eV/f.u.
**Energy relative to the elements, uncorrected**: 895 meV/atom

Cell: 4.646 4.646 4.646 Å, 143.66 127.21 65.78°
Fractional positions:
Cl: 0.004 0.004 0.000
Mo: 0.667 0.667 0.000
Re: 0.330 0.330 0.000

# 12
A relaxed structure of ScSbMo, computed with GGA-PBE.

**Space group**: No. 107
**Offset from the most stable computed form**: 0.00 eV/f.u.
**Energy relative to the elements, uncorrected**: -274 meV/atom

Cell: 5.243 5.243 5.243 Å, 140.38 140.38 57.28°
Fractional positions:
Sc: 0.338 0.338 0.000
Mo: 0.007 0.007 0.000
Sb: 0.656 0.656 0.000

# 13
A relaxed structure of SrZnSbTe2, computed with GGA-PBE.

**Space group**: No. 123
**Offset from the most stable computed form**: 0.00 eV/f.u.
**Energy relative to the elements, uncorrected**: -304 meV/atom

Cell: 5.677 5.677 5.010 Å, 90.00 90.00 90.00°
Fractional positions:
Zn: 0.000 0.000 0.000
Te: 0.500 0.000 0.000
Te: 0.000 0.500 0.000
Sr: 0.500 0.500 0.500
Sb: 0.000 0.000 0.500

# 14
A relaxed structure of MgTi2Cd2, computed with GGA-PBE.

**Space group**: No. 127
**E_form**: 0.192 eV/atom
**Offset from the most stable computed form**: 0.00 eV/f.u.

Cell: 7.826 7.826 3.297 Å, 90.00 90.00 90.00°
Fractional positions:
Ti: 0.833 0.333 0.500
Ti: 0.667 0.833 0.500
Ti: 0.333 0.167 0.500
Ti: 0.167 0.667 0.500
Cd: 0.868 0.632 0.000
Cd: 0.368 0.868 0.000
Cd: 0.132 0.368 0.000
Cd: 0.632 0.132 0.000
Mg: 0.000 0.000 0.000
Mg: 0.500 0.500 0.000

# 15
A relaxed structure of ReIr12Rh3, computed with GGA-PBE.

**Space group**: No. 123
**E_form**: -0.049 eV/atom

Cell: 3.868 3.868 15.489 Å, 90.00 90.00 90.00°
Fractional positions:
Ir: 0.500 0.500 0.500
Ir: 0.000 0.500 0.625
Ir: 0.500 0.000 0.625
Ir: 0.000 0.500 0.375
Ir: 0.000 0.500 0.877
Ir: 0.500 0.500 0.249
Ir: 0.000 0.500 0.123
Ir: 0.500 0.000 0.123
Ir: 0.500 0.000 0.375
Ir: 0.500 0.000 0.877
Ir: 0.500 0.500 0.000
Ir: 0.500 0.500 0.751
Re: 0.000 0.000 0.000
Rh: 0.000 0.000 0.747
Rh: 0.000 0.000 0.500
Rh: 0.000 0.000 0.253

# 16
A relaxed structure of Sr8Tl2Sb, computed with GGA-PBE.

**Space group**: No. 71
**Energy relative to the elements, uncorrected**: -291 meV/atom

Cell: 5.665 9.299 9.960 Å, 117.83 106.52 90.00°
Fractional positions:
Tl: 0.192 0.692 0.383
Tl: 0.808 0.308 0.617
Sr: 0.340 0.121 0.681
Sr: 0.000 0.685 0.000
Sr: 0.660 0.441 0.319
Sr: 0.857 0.857 0.715
Sr: 0.000 0.315 0.000
Sr: 0.143 0.143 0.285
Sr: 0.340 0.559 0.681
Sr: 0.660 0.879 0.319
Sb: 0.500 0.000 0.000

# 17
A relaxed structure of SrYEr2Se4, computed with GGA-PBE.

**Space group**: No. 10
**Energy relative to the elements, uncorrected**: -1774 meV/atom

Cell: 4.112 7.176 7.174 Å, 70.94 90.00 90.00°
Fractional positions:
Se: 0.000 0.235 0.262
Se: 0.500 0.760 0.253
Se: 0.500 0.240 0.747
Se: 0.000 0.765 0.738
Y: 0.000 0.500 0.500
Er: 0.500 0.000 0.500
Er: 0.000 0.000 0.000
Sr: 0.500 0.500 0.000

# 18
A relaxed structure of InSb2Au3, computed with GGA-PBE.

**Space group**: No. 63
**Offset from the most stable computed form**: 0.91 eV/f.u.
**Energy relative to the elements, uncorrected**: 54 meV/atom

Cell: 6.148 7.172 7.172 Å, 78.89 90.00 90.00°
Fractional positions:
In: 0.250 0.274 0.726
In: 0.750 0.726 0.274
Au: 0.250 0.817 0.183
Au: 0.750 0.576 0.675
Au: 0.250 0.424 0.325
Au: 0.750 0.183 0.817
Au: 0.250 0.675 0.576
Au: 0.750 0.325 0.424
Sb: 0.000 0.165 0.165
Sb: 0.500 0.165 0.165
Sb: 0.000 0.835 0.835
Sb: 0.500 0.835 0.835

# 19
A relaxed structure of BaSc3Al, computed with GGA-PBE.

**Space group**: No. 221
**E_form**: 0.288 eV/atom
**Offset from the most stable computed form**: 0.00 eV/f.u.

Cell: 5.395 5.395 5.395 Å, 90.00 90.00 90.00°
Fractional positions:
Al: 0.000 0.000 0.000
Ba: 0.500 0.500 0.500
Sc: 0.500 0.000 0.000
Sc: 0.000 0.000 0.500
Sc: 0.000 0.500 0.000

# 20
A relaxed structure of Cs2Sr2Br5, computed with GGA-PBE.

**Space group**: No. 12
**Energy relative to the elements, uncorrected**: -1745 meV/atom

Cell: 6.028 9.350 8.646 Å, 112.56 90.00 108.81°
Fractional positions:
Sr: 0.867 0.734 0.162
Sr: 0.133 0.266 0.838
Br: 0.822 0.645 0.451
Br: 0.332 0.664 0.068
Br: 0.000 0.000 0.000
Br: 0.668 0.336 0.932
Br: 0.178 0.355 0.549
Cs: 0.395 0.790 0.687
Cs: 0.605 0.210 0.313

# 21
A relaxed structure of LiTeOs2, computed with GGA-PBE.

**Space group**: No. 216
**Energy relative to the elements, uncorrected**: 574 meV/atom

Cell: 4.473 4.473 4.473 Å, 60.00 60.00 60.00°
Fractional positions:
Os: 0.000 0.000 0.000
Os: 0.750 0.750 0.750
Li: 0.500 0.500 0.500
Te: 0.250 0.250 0.250

# 22
A relaxed structure of AlCr2Se, computed with GGA-PBE.

**Space group**: No. 44
**Offset from the most stable computed form**: 0.40 eV/f.u.
**Energy relative to the elements, uncorrected**: 104 meV/atom

Cell: 5.820 5.820 5.820 Å, 149.08 142.16 49.64°
Each line ends with the local moment (μB).
Fractional positions:
Se: 0.534 0.534 0.000  -0.03
Cr: 0.714 0.214 0.500  -2.17
Cr: 0.964 0.964 0.000  2.54
Al: 0.288 0.788 0.500  0.03

# 23
A relaxed structure of KPmAs2Pd4, computed with GGA-PBE.

**Space group**: No. 123
**E_form**: -0.528 eV/atom

Cell: 4.124 4.124 10.909 Å, 90.00 90.00 90.00°
Fractional positions:
K: 0.000 0.000 0.500
Pm: 0.000 0.000 0.000
Pd: 0.500 0.000 0.803
Pd: 0.000 0.500 0.803
Pd: 0.000 0.500 0.197
Pd: 0.500 0.000 0.197
As: 0.500 0.500 0.321
As: 0.500 0.500 0.679

# 24
A relaxed structure of HfGeTe3, computed with GGA-PBE.

**Space group**: No. 62
**Offset from the most stable computed form**: 0.00 eV/f.u.
**Energy relative to the elements, uncorrected**: -512 meV/atom

Cell: 4.045 10.580 15.819 Å, 90.00 90.00 90.00°
Fractional positions:
Te: 0.750 0.180 0.034
Te: 0.750 0.680 0.466
Te: 0.250 0.708 0.697
Te: 0.750 0.507 0.885
Te: 0.250 0.993 0.385
Te: 0.250 0.208 0.803
Te: 0.250 0.493 0.115
Te: 0.750 0.292 0.303
Te: 0.250 0.820 0.966
Te: 0.750 0.007 0.615
Te: 0.250 0.320 0.534
Te: 0.750 0.792 0.197
Hf: 0.750 0.654 0.041
Hf: 0.250 0.346 0.959
Hf: 0.750 0.154 0.459
Hf: 0.250 0.846 0.541
Ge: 0.750 0.566 0.623
Ge: 0.750 0.066 0.877
Ge: 0.250 0.934 0.123
Ge: 0.250 0.434 0.377